An optimized crystal structure of LiMnPO4, computed with PBE with a Hubbard U.

Calculated values
- electronic total energy (eV per cell) = -399.23

Cell: 8.3899 6.0123 16.1702 Å, 90.00 93.36 90.00°
Space group C2/c (No. 15)
Unique sites:
Li  0.2496  0.9997  0.2500 [8 per cell]
Mn  0.1467  0.2499  0.0846 [8 per cell]
P  0.0157  0.2502  0.8686 [8 per cell]
O  0.0873  0.0389  0.6464 [8 per cell]
O  0.0880  0.4608  0.6464 [8 per cell]
O  0.0977  0.2505  0.9580 [8 per cell]
O  0.1588  0.2506  0.8113 [8 per cell]